(1)
DFT (PBE-GGA) results for Nb3TeCl7 after structural relaxation.

Results
ΔE_f (raw) = -1208.7 meV per atom
VASP energy = -119.147 eV for the cell shown
theoretical density = 3.6 g cm⁻³
size of the total moment = 0.00 μB/atom

Cell and atoms, written as POSCAR:
```
Nb3TeCl7
1.0
6.9870 0.0000 0.0000
-3.4935 6.0509 0.0000
0.0000 0.0000 14.0915
Nb Te Cl
6 2 14
direct
0.0538 0.5269 0.2420 Nb
0.4731 0.5269 0.2420 Nb
0.4731 0.9462 0.2420 Nb
0.5269 0.0538 0.7580 Nb
0.5269 0.4731 0.7580 Nb
0.9462 0.4731 0.7580 Nb
0.3333 0.6667 0.3940 Te
0.6667 0.3333 0.6060 Te
0.1674 0.3348 0.6669 Cl
0.1674 0.8326 0.6669 Cl
0.1694 0.3388 0.1295 Cl
0.1694 0.8306 0.1295 Cl
0.3333 0.6667 0.8552 Cl
0.3348 0.1674 0.3331 Cl
0.3388 0.1694 0.8705 Cl
0.6612 0.8306 0.1295 Cl
0.6652 0.8326 0.6669 Cl
0.6667 0.3333 0.1448 Cl
0.8306 0.1694 0.8705 Cl
0.8306 0.6612 0.8705 Cl
0.8326 0.1674 0.3331 Cl
0.8326 0.6652 0.3331 Cl
```


(2)
DFT (PBE-GGA) results for Nb2Te2Cl after structural relaxation.

Results
ΔE_f (raw) = -150.1 meV per atom
VASP energy = -58.040 eV for the cell shown
theoretical density = 7.1 g cm⁻³
size of the total moment = 0.36 μB/atom

Cell and atoms, written as POSCAR:
```
Nb2Te2Cl
1.0
7.9102 0.0000 0.0000
0.0000 7.9102 0.0000
0.0000 0.0000 3.5597
Nb Te Cl
4 4 2
direct
0.1350 0.3650 0.0000 Nb
0.3650 0.8650 0.0000 Nb
0.6350 0.1350 0.0000 Nb
0.8650 0.6350 0.0000 Nb
0.1505 0.6505 0.5000 Te
0.3495 0.1505 0.5000 Te
0.6505 0.8495 0.5000 Te
0.8495 0.3495 0.5000 Te
0.0000 0.0000 0.0000 Cl
0.5000 0.5000 0.0000 Cl
```


(3)
DFT (PBE-GGA) results for Th2NbTe2Cl4 after structural relaxation.

Results
ΔE_f (raw) = -1296.1 meV per atom
VASP energy = -50.244 eV for the cell shown
theoretical density = 5.6 g cm⁻³
size of the total moment = 0.07 μB/atom

Cell and atoms, written as POSCAR:
```
Th2NbTe2Cl4
1.0
3.7333 0.0000 0.0000
-1.8667 3.2332 0.0000
0.0000 0.0000 23.3528
Th Nb Te Cl
2 1 2 4
direct
0.0000 0.0000 0.0000 Th
0.3333 0.6667 0.3261 Th
0.3333 0.6667 0.6724 Nb
0.0000 0.0000 0.5939 Te
0.0000 0.0000 0.7509 Te
0.0000 0.0000 0.2427 Cl
0.0000 0.0000 0.4089 Cl
0.3333 0.6667 0.0833 Cl
0.3333 0.6667 0.9174 Cl
```